# NdGdAgBi GGA-PBE relaxed
# - V: 28.13 Å³/atom
# - Energy: -6.8782 eV per atom
# - Energy of formation: -0.483 eV/atom
# - Total magnetic moment: 32.554 μB per cell
data_NdGdAgBi
_cell_length_a 7.664
_cell_length_b 7.664
_cell_length_c 7.664
_cell_angle_alpha 90.00
_cell_angle_beta 90.00
_cell_angle_gamma 90.00
_symmetry_space_group_name_H-M 'F -4 3 m'
_symmetry_Int_Tables_number 216
_symmetry_space_group_name_Hall 'F -4 2 3'
loop_
_atom_site_label
_atom_site_fract_x
_atom_site_fract_y
_atom_site_fract_z
Nd1 0.000 0.000 0.000
Gd1 0.000 0.000 0.500
Ag1 0.250 0.250 0.750
Bi1 0.250 0.250 0.250

=====

# GdAgBiPb GGA-PBE relaxed
# - V: 27.84 Å³/atom
# - Energy: -6.3411 eV per atom
# - Energy of formation: -0.211 eV/atom
# - Total magnetic moment: 28.228 μB per cell
data_GdAgBiPb
_cell_length_a 7.638
_cell_length_b 7.638
_cell_length_c 7.638
_cell_angle_alpha 90.00
_cell_angle_beta 90.00
_cell_angle_gamma 90.00
_symmetry_space_group_name_H-M 'F -4 3 m'
_symmetry_Int_Tables_number 216
_symmetry_space_group_name_Hall 'F -4 2 3'
loop_
_atom_site_label
_atom_site_fract_x
_atom_site_fract_y
_atom_site_fract_z
Gd1 0.000 0.000 0.000
Ag1 0.250 0.250 0.250
Bi1 0.250 0.250 0.750
Pb1 0.000 0.000 0.500

=====

# GdAgBiPd GGA-PBE relaxed
# - V: 22.45 Å³/atom
# - Energy: -6.9943 eV per atom
# - Energy of formation: -0.493 eV/atom
# - Total magnetic moment: 27.839 μB per cell
data_GdAgBiPd
_cell_length_a 7.109
_cell_length_b 7.109
_cell_length_c 7.109
_cell_angle_alpha 90.00
_cell_angle_beta 90.00
_cell_angle_gamma 90.00
_symmetry_space_group_name_H-M 'F -4 3 m'
_symmetry_Int_Tables_number 216
_symmetry_space_group_name_Hall 'F -4 2 3'
loop_
_atom_site_label
_atom_site_fract_x
_atom_site_fract_y
_atom_site_fract_z
Gd1 0.000 0.000 0.000
Ag1 0.250 0.250 0.250
Bi1 0.000 0.000 0.500
Pd1 0.250 0.250 0.750

=====

# PrGdAgBi GGA-PBE relaxed
# - V: 28.47 Å³/atom
# - Energy: -6.8826 eV per atom
# - Energy of formation: -0.484 eV/atom
# - Total magnetic moment: 32.520 μB per cell
data_PrGdAgBi
_cell_length_a 7.694
_cell_length_b 7.694
_cell_length_c 7.694
_cell_angle_alpha 90.00
_cell_angle_beta 90.00
_cell_angle_gamma 90.00
_symmetry_space_group_name_H-M 'F -4 3 m'
_symmetry_Int_Tables_number 216
_symmetry_space_group_name_Hall 'F -4 2 3'
loop_
_atom_site_label
_atom_site_fract_x
_atom_site_fract_y
_atom_site_fract_z
Pr1 0.000 0.000 0.000
Gd1 0.000 0.000 0.500
Ag1 0.250 0.250 0.250
Bi1 0.250 0.250 0.750

=====

# GdAgBiRh GGA-PBE relaxed
# - V: 21.64 Å³/atom
# - Energy: -7.4220 eV per atom
# - Energy of formation: -0.381 eV/atom
# - Total magnetic moment: 28.505 μB per cell
data_GdAgBiRh
_cell_length_a 7.022
_cell_length_b 7.022
_cell_length_c 7.022
_cell_angle_alpha 90.00
_cell_angle_beta 90.00
_cell_angle_gamma 90.00
_symmetry_space_group_name_H-M 'F -4 3 m'
_symmetry_Int_Tables_number 216
_symmetry_space_group_name_Hall 'F -4 2 3'
loop_
_atom_site_label
_atom_site_fract_x
_atom_site_fract_y
_atom_site_fract_z
Gd1 0.000 0.000 0.000
Ag1 0.250 0.250 0.750
Bi1 0.000 0.000 0.500
Rh1 0.250 0.250 0.250

=====

# GdScAgBi GGA-PBE relaxed
# - V: 24.99 Å³/atom
# - Energy: -7.1873 eV per atom
# - Energy of formation: -0.401 eV/atom
# - Total magnetic moment: 32.939 μB per cell
data_GdScAgBi
_cell_length_a 7.367
_cell_length_b 7.367
_cell_length_c 7.367
_cell_angle_alpha 90.00
_cell_angle_beta 90.00
_cell_angle_gamma 90.00
_symmetry_space_group_name_H-M 'F -4 3 m'
_symmetry_Int_Tables_number 216
_symmetry_space_group_name_Hall 'F -4 2 3'
loop_
_atom_site_label
_atom_site_fract_x
_atom_site_fract_y
_atom_site_fract_z
Gd1 0.000 0.000 0.000
Sc1 0.000 0.000 0.500
Ag1 0.250 0.250 0.750
Bi1 0.250 0.250 0.250

=====

# SrGdAgBi GGA-PBE relaxed
# - V: 29.96 Å³/atom
# - Energy: -6.0980 eV per atom
# - Energy of formation: -0.474 eV/atom
# - Total magnetic moment: 30.068 μB per cell
data_SrGdAgBi
_cell_length_a 7.827
_cell_length_b 7.827
_cell_length_c 7.827
_cell_angle_alpha 90.00
_cell_angle_beta 90.00
_cell_angle_gamma 90.00
_symmetry_space_group_name_H-M 'F -4 3 m'
_symmetry_Int_Tables_number 216
_symmetry_space_group_name_Hall 'F -4 2 3'
loop_
_atom_site_label
_atom_site_fract_x
_atom_site_fract_y
_atom_site_fract_z
Sr1 0.000 0.000 0.000
Gd1 0.000 0.000 0.500
Ag1 0.250 0.250 0.250
Bi1 0.250 0.250 0.750

=====

# TbGdAgBi GGA-PBE relaxed
# - V: 27.00 Å³/atom
# - Energy: -6.8217 eV per atom
# - Energy of formation: -0.461 eV/atom
# - Total magnetic moment: 32.589 μB per cell
data_TbGdAgBi
_cell_length_a 7.560
_cell_length_b 7.560
_cell_length_c 7.560
_cell_angle_alpha 90.00
_cell_angle_beta 90.00
_cell_angle_gamma 90.00
_symmetry_space_group_name_H-M 'F -4 3 m'
_symmetry_Int_Tables_number 216
_symmetry_space_group_name_Hall 'F -4 2 3'
loop_
_atom_site_label
_atom_site_fract_x
_atom_site_fract_y
_atom_site_fract_z
Tb1 0.000 0.000 0.000
Gd1 0.000 0.000 0.500
Ag1 0.250 0.250 0.250
Bi1 0.250 0.250 0.750

=====

# GdTmAgBi GGA-PBE relaxed
# - V: 26.43 Å³/atom
# - Energy: -6.7467 eV per atom
# - Energy of formation: -0.426 eV/atom
# - Total magnetic moment: 32.669 μB per cell
data_GdTmAgBi
_cell_length_a 7.506
_cell_length_b 7.506
_cell_length_c 7.506
_cell_angle_alpha 90.00
_cell_angle_beta 90.00
_cell_angle_gamma 90.00
_symmetry_space_group_name_H-M 'F -4 3 m'
_symmetry_Int_Tables_number 216
_symmetry_space_group_name_Hall 'F -4 2 3'
loop_
_atom_site_label
_atom_site_fract_x
_atom_site_fract_y
_atom_site_fract_z
Gd1 0.000 0.000 0.000
Tm1 0.000 0.000 0.500
Ag1 0.250 0.250 0.250
Bi1 0.250 0.250 0.750

=====

# AgGe2Bi2 GGA-PBE relaxed
# - V: 25.00 Å³/atom
# - Energy: -3.7528 eV per atom
# - Energy of formation: 0.217 eV/atom
# - Total magnetic moment: 0.000 μB per cell
# - Energy above the lowest structure with this stoichiometry: 17.2 meV per atom
data_AgGe2Bi2
_cell_length_a 3.700
_cell_length_b 3.700
_cell_length_c 18.258
_cell_angle_alpha 90.00
_cell_angle_beta 90.00
_cell_angle_gamma 90.00
_symmetry_space_group_name_H-M 'I 4/m m m'
_symmetry_Int_Tables_number 139
_symmetry_space_group_name_Hall '-I 4 2'
loop_
_atom_site_label
_atom_site_fract_x
_atom_site_fract_y
_atom_site_fract_z
Ag1 0.000 0.000 0.000
Ge1 0.000 0.500 0.250
Bi1 0.000 0.000 0.402

=====

# Ag2Ge2Bi GGA-PBE relaxed
# - V: 21.86 Å³/atom
# - Energy: -3.5568 eV per atom
# - Energy of formation: 0.207 eV/atom
# - Total magnetic moment: 0.000 μB per cell
# - Energy above the lowest structure with this stoichiometry: 7.1 meV per atom
data_Ag2Ge2Bi
_cell_length_a 4.342
_cell_length_b 4.342
_cell_length_c 11.591
_cell_angle_alpha 90.00
_cell_angle_beta 90.00
_cell_angle_gamma 90.00
_symmetry_space_group_name_H-M 'I 4/m m m'
_symmetry_Int_Tables_number 139
_symmetry_space_group_name_Hall '-I 4 2'
loop_
_atom_site_label
_atom_site_fract_x
_atom_site_fract_y
_atom_site_fract_z
Ag1 0.000 0.500 0.250
Ge1 0.000 0.000 0.107
Bi1 0.000 0.000 0.500

=====

# AgGe2Bi GGA-PBE relaxed
# - V: 29.79 Å³/atom
# - Energy: -3.6472 eV per atom
# - Energy of formation: 0.345 eV/atom
# - Total magnetic moment: 0.000 μB per cell
data_AgGe2Bi
_cell_length_a 6.223
_cell_length_b 6.223
_cell_length_c 12.312
_cell_angle_alpha 90.00
_cell_angle_beta 90.00
_cell_angle_gamma 90.00
_symmetry_space_group_name_H-M 'I -4 2 d'
_symmetry_Int_Tables_number 122
_symmetry_space_group_name_Hall 'I -4 2bw'
loop_
_atom_site_label
_atom_site_fract_x
_atom_site_fract_y
_atom_site_fract_z
Ag1 0.000 0.000 0.000
Ge1 0.214 0.250 0.125
Bi1 0.000 0.000 0.500